# CsSi3Ag | the Alexandria database | GGA-PBE | relaxed
# **DOS(E_F)**: 4.36 states/eV/cell
# **M_tot**: 0.000 μB per formula unit
# **Formation energy without anion corrections**: 0.95 eV/atom
# **DFT total energy**: -0.2235 Ry per atom
data_CsSi3Ag
_space_group_name_H-M_alt 'P m -3 m'
_space_group_IT_number 221
_space_group_name_Hall '-P 4 2 3'
_cell_length_a 5.145
_cell_length_b 5.145
_cell_length_c 5.145
_cell_angle_alpha 90.00
_cell_angle_beta 90.00
_cell_angle_gamma 90.00
loop_
_atom_site_label
_atom_site_type_symbol
_atom_site_fract_x
_atom_site_fract_y
_atom_site_fract_z
_atom_site_occupancy
Cs1 Cs 0.000 0.000 0.000 1
Si1 Si 0.000 0.500 0.500 1
Ag1 Ag 0.500 0.500 0.500 1

---

# LiY2Zn6 | the Alexandria database | GGA-PBE | relaxed
# **DOS(E_F)**: 4.57 states/eV/cell
# **M_tot**: 0.000 μB per formula unit
# **DFT total energy**: -0.2038 Ry per atom
data_LiY2Zn6
_space_group_name_H-M_alt 'P 6/m m m'
_space_group_IT_number 191
_space_group_name_Hall '-P 6 2'
_cell_length_a 7.7817
_cell_length_b 7.7817
_cell_length_c 3.3062
_cell_angle_alpha 90.00
_cell_angle_beta 90.00
_cell_angle_gamma 120.00
loop_
_atom_site_label
_atom_site_type_symbol
_atom_site_fract_x
_atom_site_fract_y
_atom_site_fract_z
_atom_site_occupancy
Li1 Li 0.0000 0.0000 0.0000 1
Y1 Y 0.3333 0.6667 0.0000 1
Zn1 Zn 0.0000 0.3247 0.5000 1

---

# Co2BiRh2 | the Alexandria database | GGA-PBE | relaxed
# **DOS(E_F)**: 11.93 states/eV/cell
# **M_tot**: 3.936 μB per formula unit
# **DFT total energy**: -0.4584 Ry per atom
data_Co2BiRh2
_space_group_name_H-M_alt 'P 4/m b m'
_space_group_IT_number 127
_space_group_name_Hall '-P 4 2ab'
_cell_length_a 6.595
_cell_length_b 6.595
_cell_length_c 3.589
_cell_angle_alpha 90.00
_cell_angle_beta 90.00
_cell_angle_gamma 90.00
loop_
_atom_site_label
_atom_site_type_symbol
_atom_site_fract_x
_atom_site_fract_y
_atom_site_fract_z
_atom_site_occupancy
Co1 Co 0.126 0.374 0.000 1
Bi1 Bi 0.000 0.000 0.000 1
Rh1 Rh 0.151 0.651 0.500 1

---

# Na3CeHo2Te6 | the Alexandria database | GGA-PBE | relaxed
# **DOS(E_F)**: 16.71 states/eV/cell
# **M_tot**: 1.015 μB per formula unit
# **Formation energy without anion corrections**: -1.29 eV/atom
# **DFT total energy**: -0.3267 Ry per atom
data_Na3CeHo2Te6
_space_group_name_H-M_alt 'C 1 2/m 1'
_space_group_IT_number 12
_space_group_name_Hall '-C 2y'
_cell_length_a 7.738
_cell_length_b 13.408
_cell_length_c 7.975
_cell_angle_alpha 90.00
_cell_angle_beta 108.88
_cell_angle_gamma 90.00
loop_
_atom_site_label
_atom_site_type_symbol
_atom_site_fract_x
_atom_site_fract_y
_atom_site_fract_z
_atom_site_occupancy
Na1 Na 0.000 0.000 0.000 1
Na2 Na 0.000 0.335 0.000 1
Ce1 Ce 0.000 0.500 0.500 1
Ho1 Ho 0.000 0.167 0.500 1
Te1 Te 0.235 0.000 0.734 1
Te2 Te 0.250 0.171 0.266 1